Material: Sm6TlRh5
Method: DFT, PBE
State: relaxed

Unit cell a=4.981 b=7.270 c=7.886 alpha=90.00 beta=108.29 gamma=90.00
Space group P2/m (No. 10)
Unique sites:
Sm (0.000, 0.232, 0.000)
Sm (0.327, 0.244, 0.654)
Tl (0.500, 0.500, 0.000)
Rh (0.163, 0.500, 0.326)
Rh (0.168, 0.000, 0.335)
Rh (0.500, 0.000, 0.000)

Calculated values
For the formation energy, the calculation gives -0.621 eV/atom. The uncorrected energy comes out at -6.241 eV per atom.

Material: Sm5Tl5Rh
Method: DFT, PBE
State: relaxed

Unit cell a=15.711 b=5.493 c=9.283 alpha=90.00 beta=121.17 gamma=90.00
Space group C2/m (No. 12)
Unique sites:
Sm (0.000, 0.000, 0.000)
Sm (0.147, 0.500, 0.342)
Sm (0.154, 0.500, 0.940)
Tl (0.000, 0.500, 0.500)
Tl (0.097, 0.000, 0.706)
Tl (0.231, 0.000, 0.255)
Rh (0.000, 0.500, 0.000)

Calculated values
For the formation energy, the calculation gives -0.244 eV/atom. The uncorrected energy comes out at -4.133 eV per atom.

Material: Sm3Tl2Rh
Method: DFT, PBE
State: relaxed

Unit cell a=13.104 b=4.062 c=12.777 alpha=90.00 beta=90.00 gamma=90.00
Space group Pnma (No. 62)
Unique sites:
Sm (0.037, 0.250, 0.124)
Sm (0.118, 0.750, 0.534)
Sm (0.249, 0.250, 0.781)
Tl (0.010, 0.250, 0.695)
Tl (0.184, 0.750, 0.998)
Rh (0.134, 0.250, 0.375)

Calculated values
For the formation energy, the calculation gives -0.463 eV/atom. The uncorrected energy comes out at -4.837 eV per atom. The energy above the most stable polymorph in this dataset is 0 kJ/mol of formula units.

Material: SmTlRh
Method: DFT, PBE
State: relaxed

Unit cell a=13.405 b=3.896 c=7.939 alpha=90.00 beta=90.00 gamma=90.00
Space group Pmma (No. 51)
Unique sites:
Sm (0.047, 0.000, 0.221)
Sm (0.250, 0.000, 0.843)
Tl (0.116, 0.500, 0.572)
Tl (0.250, 0.500, 0.187)
Rh (0.096, 0.500, 0.937)
Rh (0.250, 0.000, 0.444)

Calculated values
For the formation energy, the calculation gives -0.545 eV/atom. The uncorrected energy comes out at -5.357 eV per atom.

Material: Sm12Tl6Rh
Method: DFT, PBE
State: relaxed

Unit cell a=12.4085 b=12.4085 c=13.6634 alpha=90.00 beta=90.00 gamma=120.00
Space group R-3 (No. 148, hexagonal axes)
Unique sites:
Sm (0.0344, 0.8442, 0.3757)
Sm (0.0350, 0.1891, 0.8911)
Tl (0.0077, 0.3984, 0.7612)
Rh (0.0000, 0.0000, 0.5000)

Calculated values
For the formation energy, the calculation gives -0.206 eV/atom. The uncorrected energy comes out at -4.321 eV per atom.

Material: Sm8Tl2Rh3
Method: DFT, PBE
State: relaxed

Unit cell a=9.031 b=5.009 c=9.052 alpha=90.00 beta=112.25 gamma=90.00
Space group P2/m (No. 10)
Unique sites:
Sm (0.111, 0.000, 0.389)
Sm (0.142, 0.500, 0.868)
Sm (0.367, 0.500, 0.642)
Sm (0.387, 0.000, 0.114)
Tl (0.244, 0.500, 0.258)
Rh (0.248, 0.000, 0.748)
Rh (0.500, 0.500, 0.000)

Calculated values
For the formation energy, the calculation gives -0.386 eV/atom. The uncorrected energy comes out at -5.350 eV per atom. The energy above the most stable polymorph in this dataset is 0 kJ/mol of formula units.

Material: Sm6TlRh2
Method: DFT, PBE
State: relaxed

Unit cell a=10.652 b=5.028 c=9.399 alpha=90.00 beta=102.92 gamma=90.00
Space group C2/m (No. 12)
Unique sites:
Sm (0.031, 0.000, 0.347)
Sm (0.161, 0.500, 0.885)
Sm (0.210, 0.500, 0.335)
Tl (0.000, 0.000, 0.000)
Rh (0.125, 0.500, 0.595)

Calculated values
For the formation energy, the calculation gives -0.393 eV/atom. The uncorrected energy comes out at -5.436 eV per atom. The energy above the most stable polymorph in this dataset is 81 kJ/mol of formula units.

Material: Sm4Tl3Rh
Method: DFT, PBE
State: relaxed

Unit cell a=3.938 b=4.895 c=11.689 alpha=90.00 beta=90.00 gamma=90.00
Space group Pmm2 (No. 25)
Unique sites:
Sm (0.000, 0.000, 0.000)
Sm (0.000, 0.500, 0.250)
Sm (0.500, 0.000, 0.435)
Sm (0.500, 0.500, 0.761)
Tl (0.000, 0.000, 0.700)
Tl (0.000, 0.500, 0.524)
Tl (0.500, 0.500, 0.032)
Rh (0.500, 0.000, 0.194)

Calculated values
For the formation energy, the calculation gives -0.414 eV/atom. The uncorrected energy comes out at -4.580 eV per atom. The energy above the most stable polymorph in this dataset is 37 kJ/mol of formula units.

Material: Sm3Tl2Rh
Method: DFT, PBE
State: relaxed

Unit cell a=7.890 b=11.155 c=8.078 alpha=90.00 beta=100.34 gamma=90.00
Space group C2/m (No. 12)
Unique sites:
Sm (0.176, 0.000, 0.173)
Sm (0.224, 0.179, 0.772)
Tl (0.000, 0.000, 0.500)
Tl (0.000, 0.365, 0.500)
Tl (0.000, 0.500, 0.000)
Rh (0.000, 0.205, 0.000)

Calculated values
For the formation energy, the calculation gives -0.403 eV/atom. The uncorrected energy comes out at -4.777 eV per atom. The energy above the most stable polymorph in this dataset is 35 kJ/mol of formula units.

Material: Sm8Tl2Rh3
Method: DFT, PBE
State: relaxed

Unit cell a=16.619 b=7.696 c=6.785 alpha=90.00 beta=108.78 gamma=90.00
Space group C2/m (No. 12)
Unique sites:
Sm (0.094, 0.000, 0.422)
Sm (0.095, 0.260, 0.906)
Sm (0.142, 0.500, 0.473)
Tl (0.246, 0.000, 0.863)
Rh (0.000, 0.000, 0.000)
Rh (0.000, 0.304, 0.500)

Calculated values
For the formation energy, the calculation gives -0.368 eV/atom. The uncorrected energy comes out at -5.333 eV per atom. The energy above the most stable polymorph in this dataset is 22 kJ/mol of formula units.

Material: Sm2TlRh3
Method: DFT, PBE
State: relaxed

Unit cell a=4.748 b=5.537 c=9.912 alpha=90.00 beta=90.00 gamma=90.00
Space group Immm (No. 71)
Unique sites:
Sm (0.000, 0.000, 0.179)
Tl (0.000, 0.000, 0.500)
Rh (0.000, 0.500, 0.143)
Rh (0.000, 0.500, 0.500)

Calculated values
For the formation energy, the calculation gives -0.299 eV/atom. The uncorrected energy comes out at -5.942 eV per atom.

Material: SmTlRh
Method: DFT, PBE
State: relaxed

Unit cell a=4.7773 b=4.7773 c=3.5021 alpha=90.00 beta=90.00 gamma=120.00
Space group P-6m2 (No. 187)
Unique sites:
Sm (0.0000, 0.0000, 0.0000)
Tl (0.3333, 0.6667, 0.5000)
Rh (0.6667, 0.3333, 0.5000)

Calculated values
For the formation energy, the calculation gives -0.370 eV/atom. The uncorrected energy comes out at -5.182 eV per atom.